Record 1
Compound: EuTmLu
Source: the Alexandria database
Functional: PBE
Structure: optimized geometry

POSCAR file:
```
EuTmLu
1.0
-0.4142 1.6563 3.1567
-3.2886 1.0491 -0.9820
-1.0667 -7.7277 1.8748
Eu Lu Tm
1 1 1
Direct
0.9997 0.9997 0.9994
0.3245 0.3245 0.6490
0.6758 0.6758 0.3516
```

Energy relative to the elements in meV/atom: 83
DOS at the Fermi energy in states/eV/cell: 4.468
E above lowest polymorph in meV per atom: 4


Record 2
Compound: HoMgScTl
Source: the Alexandria database
Functional: PBE
Structure: optimized geometry

POSCAR file:
```
HoMgScTl
1.0
-3.3846 2.1714 -3.2720
-3.6187 -2.9153 -2.2984
-4.9768 0.4905 1.3666
Sc Tl Mg Ho
1 1 1 1
Direct
0.0000 0.0000 0.0000
0.2500 0.2500 0.2500
0.7500 0.7500 0.7500
0.5000 0.5000 0.5000
```

Energy relative to the elements in meV/atom: -200
DOS at the Fermi energy in states/eV/cell: 3.566


Record 3
Compound: Sm3Er6Th2
Source: the Alexandria database
Functional: PBE
Structure: optimized geometry

POSCAR file:
```
Sm3Er6Th2
1.0
-2.4128 5.6058 -0.3927
-4.8930 0.9808 -3.5556
-7.6367 -0.4125 8.6046
Sm Er Th
3 6 2
Direct
0.0000 0.0000 0.0000
0.3353 0.3293 0.0000
0.6647 0.6707 0.0000
0.4186 0.6671 0.7443
0.7523 0.0000 0.7451
0.0857 0.3329 0.7443
0.2477 0.0000 0.2549
0.5814 0.3329 0.2557
0.9143 0.6671 0.2557
0.1651 0.6699 0.5000
0.8349 0.3301 0.5000
```

Energy relative to the elements in meV/atom: 211
DOS at the Fermi energy in states/eV/cell: 15.715


Record 4
Compound: Rb2AcPd3F12
Source: the Alexandria database
Functional: PBE
Structure: optimized geometry

POSCAR file:
```
Rb2AcPd3F12
1.0
-1.5795 -6.8949 -1.6591
1.2150 -1.2059 -7.0610
6.1192 -3.8217 -0.8593
Rb Ac Pd F
2 1 3 12
Direct
0.6189 0.6189 0.6189
0.3811 0.3811 0.3811
0.0000 0.0000 0.0000
0.5000 0.0000 0.0000
0.0000 0.5000 0.0000
0.0000 0.0000 0.5000
0.2571 0.2571 0.9152
0.8681 0.8681 0.3907
0.3907 0.8681 0.8681
0.9152 0.2571 0.2571
0.8681 0.3907 0.8681
0.2571 0.9152 0.2571
0.7429 0.7429 0.0848
0.1319 0.1319 0.6093
0.6093 0.1319 0.1319
0.0848 0.7429 0.7429
0.1319 0.6093 0.1319
0.7429 0.0848 0.7429
```

DOS at the Fermi energy in states/eV/cell: 6.253
Formation energy without anion corrections in eV per atom: -2.2166


Record 5
Compound: CdFe2Tc
Source: the Alexandria database
Functional: PBE
Structure: optimized geometry

POSCAR file:
```
CdFe2Tc
1.0
9.0543 0.0080 0.0047
8.6365 2.7187 0.0047
8.6365 1.3312 2.3705
Cd Fe Tc
1 2 1
Direct
0.7500 0.7500 0.7500
0.9936 0.9936 0.9936
0.5064 0.5064 0.5064
0.2500 0.2500 0.2500
```

Energy relative to the elements in meV/atom: 334
DOS at the Fermi energy in states/eV/cell: 5.334


Record 6
Compound: LaTlSe2Br
Source: the Alexandria database
Functional: PBE
Structure: optimized geometry

POSCAR file:
```
LaTlSe2Br
1.0
-5.3480 0.4224 -0.8994
-0.7674 -4.8836 2.2694
-0.6336 2.3669 4.8792
Tl Se Br La
1 2 1 1
Direct
0.0000 0.0000 0.0000
0.0000 0.5000 0.0000
0.5000 0.0000 0.0000
0.0000 0.0000 0.5000
0.5000 0.5000 0.5000
```

DOS at the Fermi energy in states/eV/cell: 5.497
E above lowest polymorph in meV per atom: 493
Formation energy without anion corrections in eV per atom: -0.5310


Record 7
Compound: BeCdB
Source: the Alexandria database
Functional: PBE
Structure: optimized geometry

POSCAR file:
```
BeCdB
1.0
3.4950 0.0000 -0.0081
0.0000 8.0855 0.0000
-2.3319 0.0000 2.7773
Be B Cd
2 2 2
Direct
0.2190 0.1075 0.7690
0.7190 0.8925 0.2690
0.4667 0.0527 0.4400
0.9667 0.9473 0.9400
0.4873 0.3470 0.4278
0.9873 0.6530 0.9278
```

Energy relative to the elements in meV/atom: 202
DOS at the Fermi energy in states/eV/cell: 1.498
E above lowest polymorph in meV per atom: 97


Record 8
Compound: Nb2AlGaF
Source: the Alexandria database
Functional: PBE
Structure: optimized geometry

POSCAR file:
```
Nb2AlGaF
1.0
4.9093 0.0000 0.0000
0.0000 4.4319 0.0000
0.0000 0.0000 4.9093
Nb Al Ga F
2 1 1 1
Direct
0.0000 0.0000 0.5000
0.5000 0.0000 0.0000
0.0000 0.5000 0.0000
0.0000 0.0000 0.0000
0.5000 0.5000 0.5000
```

DOS at the Fermi energy in states/eV/cell: 5.551
Formation energy without anion corrections in eV per atom: 0.9302


Record 9
Compound: BeZnIn3
Source: the Alexandria database
Functional: PBE
Structure: optimized geometry

POSCAR file:
```
BeZnIn3
1.0
5.1926 0.0000 0.0000
0.0000 5.1926 0.0000
0.0000 0.0000 5.1926
Be Zn In
1 1 3
Direct
0.5000 0.5000 0.5000
0.0000 0.0000 0.0000
0.0000 0.5000 0.0000
0.0000 0.0000 0.5000
0.5000 0.0000 0.0000
```

Energy relative to the elements in meV/atom: 753
DOS at the Fermi energy in states/eV/cell: 2.741
E above lowest polymorph in meV per atom: 403


Record 10
Compound: SrReHN2
Source: the Alexandria database
Functional: PBE
Structure: optimized geometry

POSCAR file:
```
SrReHN2
1.0
3.9669 0.0000 0.0000
0.0000 3.9669 0.0000
0.0000 0.0000 3.8381
Re N H Sr
1 2 1 1
Direct
0.0000 0.0000 0.0000
0.0000 0.5000 0.0000
0.5000 0.0000 0.0000
0.0000 0.0000 0.5000
0.5000 0.5000 0.5000
```

Total DFT energy (no corrections) in eV/atom: -7.316
DOS at the Fermi energy in states/eV/cell: 1.880